# 1
Compound: La4CoSeCl2
Source: Alexandria via LeMat-Bulk
Functional: PBE
Structure: optimized geometry

abc: 7.4370 4.0281 7.6767
angles: 90.00 108.55 90.00
Space group P2/m (No. 10)
Asymmetric unit:
La 0.2099 0.0000 0.2100
La 0.2408 0.5000 0.7586
Co 0.0000 0.5000 0.0000
Se 0.0000 0.0000 0.5000
Cl 0.5000 0.0000 0.0000
Cl 0.5000 0.5000 0.5000

Results
* raw formation energy: -1.336 eV/atom

# 2
Compound: La2CoSeCl
Source: Alexandria via LeMat-Bulk
Functional: PBE
Structure: optimized geometry

abc: 5.3122 5.3122 4.5163
angles: 90.00 90.00 90.00
Space group P4/mmm (No. 123)
Asymmetric unit:
La 0.0000 0.5000 0.0000
Co 0.0000 0.0000 0.0000
Se 0.0000 0.0000 0.5000
Cl 0.5000 0.5000 0.5000

Results
* raw formation energy: -0.936 eV/atom

# 3
Compound: La4CoSiCl2
Source: Alexandria via LeMat-Bulk
Functional: PBE
Structure: optimized geometry

abc: 7.4206 4.2071 7.6030
angles: 90.00 106.88 90.00
Space group P2/m (No. 10)
Asymmetric unit:
La 0.2326 0.0000 0.2200
La 0.2348 0.5000 0.7980
Co 0.0000 0.5000 0.0000
Si 0.5000 0.0000 0.0000
Cl 0.0000 0.0000 0.5000
Cl 0.5000 0.5000 0.5000

Results
* raw formation energy: -1.039 eV/atom

# 4
Compound: LaSmCoCl
Source: Alexandria via LeMat-Bulk
Functional: PBE
Structure: optimized geometry

abc: 3.9334 3.9334 23.1206
angles: 90.00 90.00 120.00
Space group R3m (No. 160, hexagonal axes)
Asymmetric unit:
La 0.0000 0.0000 0.0000
Sm 0.0000 0.0000 0.7983
Co 0.0000 0.0000 0.3978
Cl 0.0000 0.0000 0.2257

Results
* raw formation energy: -0.867 eV/atom

# 5
Compound: La2Sm2Co2Cl
Source: Alexandria via LeMat-Bulk
Functional: PBE
Structure: optimized geometry

abc: 13.7691 3.7747 8.9259
angles: 90.00 124.26 90.00
Space group C2/m (No. 12)
Asymmetric unit:
La 0.0390 0.0000 0.2468
Sm 0.2368 0.5000 0.8260
Co 0.0870 0.5000 0.9934
Cl 0.0000 0.5000 0.5000

Results
* raw formation energy: -0.519 eV/atom

# 6
Compound: LaTaCoCl2
Source: Alexandria via LeMat-Bulk
Functional: PBE
Structure: optimized geometry

abc: 4.6557 4.6557 6.5869
angles: 90.00 90.00 90.00
Space group P4/mmm (No. 123)
Asymmetric unit:
La 0.0000 0.0000 0.0000
Ta 0.0000 0.0000 0.5000
Co 0.5000 0.5000 0.0000
Cl 0.0000 0.5000 0.5000

Results
* raw formation energy: 0.365 eV/atom

# 7
Compound: La6Co2TcCl3
Source: Alexandria via LeMat-Bulk
Functional: PBE
Structure: optimized geometry

abc: 19.2268 3.9701 9.2165
angles: 90.00 111.19 90.00
Space group C2/m (No. 12)
Asymmetric unit:
La 0.0129 0.0000 0.2416
La 0.1527 0.5000 0.1026
La 0.1838 0.5000 0.5628
Co 0.1712 0.0000 0.3382
Tc 0.0000 0.5000 0.0000
Cl 0.0000 0.5000 0.5000
Cl 0.1636 0.0000 0.8315

Results
* raw formation energy: -0.854 eV/atom

# 8
Compound: LaThCoCl
Source: Alexandria via LeMat-Bulk
Functional: PBE
Structure: optimized geometry

abc: 6.9758 4.0201 8.0438
angles: 90.00 106.76 90.00
Space group Cm (No. 8)
Asymmetric unit:
La 0.0000 0.0000 0.0000
Th 0.2944 0.5000 0.3822
Co 0.4045 0.0000 0.2127
Cl 0.2310 0.0000 0.6923

Results
* raw formation energy: -0.857 eV/atom

# 9
Compound: LaTlCo2Cl8
Source: Alexandria via LeMat-Bulk
Functional: PBE
Structure: optimized geometry

abc: 6.5335 6.5335 28.9121
angles: 90.00 90.00 120.00
Space group R-3 (No. 148, hexagonal axes)
Asymmetric unit:
La 0.0000 0.0000 0.0000
Tl 0.0000 0.0000 0.5000
Co 0.0000 0.0000 0.2486
Cl 0.0000 0.0000 0.1731
Cl 0.0014 0.3468 0.0579

Results
* raw formation energy: -1.203 eV/atom

# 10
Compound: La6ZnCo2Cl3
Source: Alexandria via LeMat-Bulk
Functional: PBE
Structure: optimized geometry

abc: 19.0982 4.1219 9.0530
angles: 90.00 109.57 90.00
Space group C2/m (No. 12)
Asymmetric unit:
La 0.0172 0.0000 0.2594
La 0.1654 0.5000 0.1167
La 0.1828 0.5000 0.5585
Zn 0.0000 0.5000 0.0000
Co 0.1674 0.0000 0.3324
Cl 0.0000 0.5000 0.5000
Cl 0.1642 0.0000 0.8363

Results
* raw formation energy: -0.894 eV/atom

# 11
Compound: Li2CoCl4
Source: Alexandria via LeMat-Bulk
Functional: PBE
Structure: optimized geometry

abc: 5.7750 5.7750 10.2217
angles: 90.00 90.00 90.00
Space group I-42m (No. 121)
Asymmetric unit:
Li 0.0000 0.5000 0.2500
Co 0.0000 0.0000 0.0000
Cl 0.2281 0.2281 0.1260

Results
* raw formation energy: -1.272 eV/atom

# 12
Compound: LiCo2Cl
Source: Alexandria via LeMat-Bulk
Functional: PBE
Structure: optimized geometry

abc: 7.5198 7.5198 4.3582
angles: 90.00 90.00 90.00
Space group I-42d (No. 122)
Asymmetric unit:
Li 0.0000 0.0000 0.0000
Co 0.1822 0.2500 0.6250
Cl 0.0000 0.0000 0.5000

Results
* raw formation energy: 0.436 eV/atom